(1)
# Ba2YIO6, optimized geometry, DFT PBE
data_Ba2YIO6
_chemical_formula_sum 'Ba8 Y4 I4 O24'
_cell_length_a 8.7025
_cell_length_b 8.7025
_cell_length_c 8.7025
_cell_angle_alpha 90.00
_cell_angle_beta 90.00
_cell_angle_gamma 90.00
_symmetry_space_group_name_H-M 'F m -3 m'
_symmetry_Int_Tables_number 225
_symmetry_space_group_name_Hall '-F 4 2 3'
loop_
_atom_site_label
_atom_site_type_symbol
_atom_site_fract_x
_atom_site_fract_y
_atom_site_fract_z
_atom_site_occupancy
Ba1 Ba 0.2500 0.2500 0.2500 1
Y1 Y 0.0000 0.0000 0.0000 1
I1 I 0.0000 0.0000 0.5000 1
O1 O 0.0000 0.0000 0.2574 1
# raw formation energy	-2.16	eV per atom
# D(E_F)	0.000	states/eV/cell

=====

(2)
# BaZnIO6, optimized geometry, DFT PBE
data_BaZnIO6
_chemical_formula_sum 'Ba1 Zn1 I1 O6'
_cell_length_a 5.3551
_cell_length_b 5.3551
_cell_length_c 5.7580
_cell_angle_alpha 90.00
_cell_angle_beta 90.00
_cell_angle_gamma 120.00
_symmetry_space_group_name_H-M 'P 3 1 2'
_symmetry_Int_Tables_number 149
loop_
_symmetry_equiv_pos_as_xyz
'x,y,z'
'-y,x-y,z'
'-x+y,-x,z'
'-y,-x,-z'
'-x+y,y,-z'
'x,x-y,-z'
loop_
_atom_site_label
_atom_site_type_symbol
_atom_site_fract_x
_atom_site_fract_y
_atom_site_fract_z
_atom_site_occupancy
Ba1 Ba 0.0000 0.0000 0.0000 1
Zn1 Zn 0.3333 0.6667 0.5000 1
I1 I 0.6667 0.3333 0.5000 1
O1 O 0.3989 0.0260 0.6924 1
# raw formation energy	-1.15	eV per atom
# D(E_F)	5.235	states/eV/cell

=====

(3)
# Ba2ZnI2O2, optimized geometry, DFT PBE
data_Ba2ZnI2O2
_chemical_formula_sum 'Ba4 Zn2 I4 O4'
_cell_length_a 4.3172
_cell_length_b 4.3172
_cell_length_c 21.4023
_cell_angle_alpha 90.00
_cell_angle_beta 90.00
_cell_angle_gamma 90.00
_symmetry_space_group_name_H-M 'I 4/m m m'
_symmetry_Int_Tables_number 139
_symmetry_space_group_name_Hall '-I 4 2'
loop_
_atom_site_label
_atom_site_type_symbol
_atom_site_fract_x
_atom_site_fract_y
_atom_site_fract_z
_atom_site_occupancy
Ba1 Ba 0.0000 0.0000 0.0831 1
Zn1 Zn 0.0000 0.0000 0.5000 1
I1 I 0.0000 0.0000 0.3356 1
O1 O 0.0000 0.5000 0.0000 1
# raw formation energy	-1.86	eV per atom